Record 1
Density functional theory data (PBE-GGA) for a relaxed structure of AlTc2Se.

a b c (Å): 3.1829 3.1829 5.9395
angles (deg): 90.00 90.00 90.00
Atoms (fractional coordinates):
Tc1 0.0000 0.0000 0.9872
Tc2 0.5000 0.5000 0.2737
Se1 0.5000 0.5000 0.7596
Al1 0.0000 0.0000 0.4795

Space group: P4mm
DOS at the Fermi energy: 2.6 states/eV per cell
Formation energy without anion corrections: -0.03 eV per atom
Excess energy over the best structure of this formula in the dataset: 0.197 eV/f.u.



Record 2
Density functional theory data (PBE-GGA) for a relaxed structure of CaYBe2.

a b c (Å): 4.9115 4.9115 3.4364
angles (deg): 90.00 90.00 90.00
Atoms (fractional coordinates):
Y1 0.0000 0.5000 0.5000
Be1 0.0000 0.0000 0.0000
Be2 0.5000 0.5000 0.0000
Ca1 0.5000 0.0000 0.5000

Space group: P4/mmm
DOS at the Fermi energy: 3.2 states/eV per cell
Formation energy: 0.240 eV per atom
Excess energy over the best structure of this formula in the dataset: 0.161 eV/f.u.



Record 3
Density functional theory data (PBE-GGA) for a relaxed structure of CoTePb2.

a b c (Å): 6.2517 6.2517 4.4499
angles (deg): 70.54 70.54 121.84
Last column: magnetic moment on the atom in μB.
Atoms (fractional coordinates):
Co1 0.0000 0.5000 0.5000  1.87
Pb1 0.0000 0.0000 0.0000  0.00
Pb2 0.5000 0.5000 0.0000  0.00
Te1 0.5000 0.0000 0.5000  0.03

Space group: C2/m
DOS at the Fermi energy: 3.5 states/eV per cell
Formation energy without anion corrections: 0.47 eV per atom
Excess energy over the best structure of this formula in the dataset: 1.547 eV/f.u.



Record 4
Density functional theory data (PBE-GGA) for a relaxed structure of Nd3Y2Tl4.

a b c (Å): 5.3942 5.3945 10.5774
angles (deg): 89.99 90.00 60.00
Atoms (fractional coordinates):
Nd1 0.3333 0.3335 0.4210
Nd2 0.0000 0.0000 0.0000
Nd3 0.6667 0.6665 0.5790
Y1 0.3334 0.3332 0.7794
Y2 0.6666 0.6668 0.2206
Tl1 0.6667 0.6665 0.8981
Tl2 0.9999 0.0002 0.3432
Tl3 0.0001 0.9998 0.6568
Tl4 0.3333 0.3335 0.1019

Space group: P-3m1
DOS at the Fermi energy: 8.6 states/eV per cell
Formation energy: -0.323 eV per atom
Excess energy over the best structure of this formula in the dataset: 0.000 eV/f.u.



Record 5
Density functional theory data (PBE-GGA) for a relaxed structure of CsTaCu2F8.

a b c (Å): 5.5168 5.5168 9.0400
angles (deg): 72.23 72.23 60.00
Last column: magnetic moment on the atom in μB.
Atoms (fractional coordinates):
Cs1 0.0000 0.0000 0.0000  0.00
Ta1 0.5000 0.5000 0.5000  -0.01
Cu1 0.7296 0.7296 0.8111  0.11
Cu2 0.2704 0.2704 0.1889  0.11
F1 0.6573 0.6573 0.0282  0.01
F2 0.3427 0.3427 0.9718  0.01
F3 0.3789 0.3790 0.3683  0.00
F4 0.6210 0.6211 0.6317  0.00
F5 0.1262 0.6210 0.6317  0.00
F6 0.3790 0.8738 0.3683  0.00
F7 0.8738 0.3789 0.3683  0.00
F8 0.6211 0.1262 0.6317  0.00

Space group: R-3m
Formation energy without anion corrections: -2.35 eV per atom



Record 6
Density functional theory data (PBE-GGA) for a relaxed structure of LuThNiRu.

a b c (Å): 4.8627 4.8627 4.8627
angles (deg): 60.00 60.00 60.00
Atoms (fractional coordinates):
Ru1 0.5000 0.5000 0.5000
Lu1 0.2500 0.2500 0.2500
Th1 0.7500 0.7500 0.7500
Ni1 0.0000 0.0000 0.0000

Space group: F-43m
DOS at the Fermi energy: 3.4 states/eV per cell
Formation energy: -0.425 eV per atom



Record 7
Density functional theory data (PBE-GGA) for a relaxed structure of Tb8ErTm6.

a b c (Å): 5.7805 9.7233 9.7233
angles (deg): 120.00 90.00 90.00
Atoms (fractional coordinates):
Tb1 0.7296 0.0906 0.4644
Tb2 0.7296 0.5356 0.6262
Tb3 0.7296 0.3738 0.9094
Tb4 0.2704 0.9094 0.5356
Tb5 0.2704 0.4644 0.3738
Tb6 0.2704 0.6262 0.0906
Tb7 0.2200 0.3333 0.6667
Tb8 0.7800 0.6667 0.3333
Er1 0.5000 0.0000 0.0000
Tm1 0.7827 0.7757 0.0489
Tm2 0.7827 0.9511 0.7269
Tm3 0.7827 0.2731 0.2243
Tm4 0.2173 0.2243 0.9511
Tm5 0.2173 0.0489 0.2731
Tm6 0.2173 0.7269 0.7757

Space group: P-3
DOS at the Fermi energy: 22.9 states/eV per cell
Formation energy: 0.173 eV per atom
Excess energy over the best structure of this formula in the dataset: 0.611 eV/f.u.



Record 8
Density functional theory data (PBE-GGA) for a relaxed structure of YHf3N.

a b c (Å): 5.1201 5.1201 5.1201
angles (deg): 90.00 90.00 90.00
Atoms (fractional coordinates):
Y1 0.0000 0.0000 0.0000
Hf1 0.0000 0.5000 0.0000
Hf2 0.0000 0.0000 0.5000
Hf3 0.5000 0.0000 0.0000
N1 0.5000 0.5000 0.5000

Space group: Pm-3m
DOS at the Fermi energy: 5.9 states/eV per cell
Formation energy without anion corrections: 2.69 eV per atom
Excess energy over the best structure of this formula in the dataset: 16.185 eV/f.u.



Record 9
Density functional theory data (PBE-GGA) for a relaxed structure of Er2NbGa2Rh5.

a b c (Å): 3.5546 9.7959 9.7959
angles (deg): 90.00 90.00 90.00
Atoms (fractional coordinates):
Er1 0.0000 0.6722 0.1722
Er2 0.0000 0.3278 0.8278
Er3 0.0000 0.1722 0.3278
Er4 0.0000 0.8278 0.6722
Nb1 0.0000 0.0000 0.0000
Nb2 0.0000 0.5000 0.5000
Ga1 0.0000 0.1258 0.6258
Ga2 0.0000 0.8742 0.3742
Ga3 0.0000 0.6258 0.8742
Ga4 0.0000 0.3742 0.1258
Rh1 0.5000 0.2018 0.0664
Rh2 0.5000 0.7982 0.9336
Rh3 0.5000 0.0664 0.7982
Rh4 0.5000 0.7018 0.4336
Rh5 0.5000 0.9336 0.2018
Rh6 0.5000 0.2982 0.5664
Rh7 0.5000 0.5664 0.7018
Rh8 0.5000 0.4336 0.2982
Rh9 0.5000 0.5000 0.0000
Rh10 0.5000 0.0000 0.5000

Space group: P4/mbm
DOS at the Fermi energy: 8.5 states/eV per cell
Formation energy: -0.765 eV per atom



Record 10
Density functional theory data (PBE-GGA) for a relaxed structure of InAgOF2.

a b c (Å): 4.2859 4.2859 4.1072
angles (deg): 90.00 90.00 90.00
Atoms (fractional coordinates):
F1 0.0000 0.5000 0.0000
F2 0.5000 0.0000 0.0000
O1 0.0000 0.0000 0.5000
Ag1 0.5000 0.5000 0.5000
In1 0.0000 0.0000 0.0000

Space group: P4/mmm
DOS at the Fermi energy: 0.0 states/eV per cell
Formation energy without anion corrections: -1.44 eV per atom
Excess energy over the best structure of this formula in the dataset: 0.000 eV/f.u.



Record 11
Density functional theory data (PBE-GGA) for a relaxed structure of SbPd2Pb2.

a b c (Å): 3.8879 3.8879 8.5687
angles (deg): 76.89 76.89 90.00
Atoms (fractional coordinates):
Pb1 0.3808 0.3808 0.2384
Pb2 0.6192 0.6192 0.7616
Sb1 0.0000 0.0000 0.0000
Pd1 0.7500 0.2500 0.5000
Pd2 0.2500 0.7500 0.5000

Space group: I4/mmm
DOS at the Fermi energy: 2.5 states/eV per cell
Formation energy without anion corrections: 0.00 eV per atom
Excess energy over the best structure of this formula in the dataset: 1.202 eV/f.u.



Record 12
Density functional theory data (PBE-GGA) for a relaxed structure of SrInS2Cl.

a b c (Å): 5.0791 5.0791 5.1130
angles (deg): 90.00 90.00 90.00
Atoms (fractional coordinates):
Sr1 0.5000 0.5000 0.5000
S1 0.0000 0.5000 0.0000
S2 0.5000 0.0000 0.0000
Cl1 0.0000 0.0000 0.5000
In1 0.0000 0.0000 0.0000

Space group: P4/mmm
DOS at the Fermi energy: 1.6 states/eV per cell
Formation energy without anion corrections: -1.07 eV per atom
Excess energy over the best structure of this formula in the dataset: 0.000 eV/f.u.



no.,theoretical density (g cm⁻³),electronic total energy (eV per atom),spin magnetization (μB/f.u.)
1,8.3,-7.02,0.0
2,2.9,-3.74,0.0
3,9.3,-3.95,1.9
4,8.9,-4.40,0.0
5,4.4,-5.34,0.2
6,11.6,-7.17,0.0
7,8.6,-4.39,0.0
8,7.9,-6.24,0.0
9,10.5,-6.97,0.0
10,6.1,-4.29,0.0
11,10.1,-4.39,0.0
12,3.8,-3.98,0.0